The following is a DFT calculation (PBE-GGA) of BaPuP2Pd2 after structural relaxation.

* calculated total energy: -43.17 eV/cell
* calculated formation energy: -951 meV per atom
* M_tot: 0.78 μB/atom

abc: 4.2269 4.2269 8.4636
angles: 90.00 90.00 120.00
With the nearest neighbours (Å) after each atom.
Space group P-3m1 (No. 164)
Unique sites:
Ba 0.0000 0.0000 0.0000 x1  6 Pd 3.35, 6 P 3.48
Pu 0.0000 0.0000 0.5000 x1  6 P 3.00, 6 Pd 3.11
P 0.3333 0.6667 0.2936 x2  3 Pd 2.45
Pd 0.3333 0.6667 0.7280 x2  3 P 2.45